Record 1
Material: EuScGaPb
Method: DFT, PBE
State: optimized geometry

Unit cell a=5.2362 b=5.2362 c=5.2362 alpha=60.00 beta=60.00 gamma=60.00
Sites, in units of the cell vectors:
Eu  0.0000  0.0000  0.0000
Pb  0.7500  0.7500  0.7500
Sc  0.5000  0.5000  0.5000
Ga  0.2500  0.2500  0.2500

ΔH_f (0 K)   -0.378 eV per atom


Record 2
Material: Ga3Ni12As
Method: DFT, PBE
State: optimized geometry

Unit cell a=3.5755 b=3.5755 c=14.3925 alpha=90.00 beta=90.00 gamma=90.00
Sites, in units of the cell vectors:
Ni  0.5000  0.5000  0.0000
Ni  0.5000  0.5000  0.7511
Ni  0.0000  0.5000  0.6248
Ni  0.5000  0.0000  0.1243
Ni  0.0000  0.5000  0.3752
Ni  0.5000  0.5000  0.2489
Ni  0.0000  0.5000  0.8757
Ni  0.5000  0.0000  0.8757
Ni  0.5000  0.0000  0.3752
Ni  0.5000  0.0000  0.6248
Ni  0.5000  0.5000  0.5000
Ni  0.0000  0.5000  0.1243
Ga  0.0000  0.0000  0.5000
Ga  0.0000  0.0000  0.7482
Ga  0.0000  0.0000  0.2518
As  0.0000  0.0000  0.0000

ΔH_f (0 K)   -0.270 eV per atom


Record 3
Material: CaGa4Pd2Ru
Method: DFT, PBE
State: optimized geometry

Unit cell a=4.2664 b=4.2664 c=9.3007 alpha=76.74 beta=76.74 gamma=60.00
Sites, in units of the cell vectors:
Ga  0.8659  0.8659  0.4024
Ga  0.1341  0.1341  0.5976
Ga  0.4017  0.4017  0.7948
Ga  0.5983  0.5983  0.2052
Ru  0.5000  0.5000  0.5000
Ca  0.0000  0.0000  0.0000
Pd  0.2357  0.2357  0.2930
Pd  0.7643  0.7643  0.7070

ΔH_f (0 K)   -0.529 eV per atom


Record 4
Material: Nd2Cu3Ir
Method: DFT, PBE
State: optimized geometry

Unit cell a=5.7760 b=5.7760 c=8.2879 alpha=107.90 beta=107.90 gamma=96.76
Sites, in units of the cell vectors:
Cu  0.3249  0.8394  0.1642
Cu  0.1606  0.6751  0.8358
Cu  0.6751  0.1606  0.8358
Cu  0.8394  0.3249  0.1642
Cu  0.1655  0.1655  0.3310
Cu  0.8345  0.8345  0.6690
Ir  0.6618  0.6618  0.3235
Ir  0.3382  0.3382  0.6765
Nd  0.2573  0.2573  0.0000
Nd  0.2500  0.7500  0.5000
Nd  0.7500  0.2500  0.5000
Nd  0.7427  0.7427  0.0000

ΔH_f (0 K)   -0.320 eV per atom